Li2ScWO6 | PBE with a Hubbard U | relaxed

Unit cell a=5.302 b=5.392 c=7.687 alpha=90.00 beta=90.07 gamma=90.00
Element x y z (fractional)
1 O 0.653 0.319 0.562
2 O 0.105 0.446 0.761
3 Li 0.981 0.979 0.256
4 O 0.819 0.839 0.552
5 Li 0.519 0.479 0.244
6 Sc 0.000 0.500 0.500
7 O 0.681 0.339 0.948
8 O 0.153 0.181 0.062
9 O 0.395 0.946 0.739
10 O 0.347 0.681 0.438
11 Li 0.481 0.521 0.756
12 O 0.847 0.819 0.938
13 Li 0.019 0.021 0.744
14 O 0.181 0.161 0.448
15 W 0.500 0.000 0.500
16 W 0.000 0.500 0.000
17 Sc 0.500 0.000 0.000
18 O 0.319 0.661 0.052
19 O 0.895 0.554 0.239
20 O 0.605 0.054 0.261

Results
* total magnetization: 1.049 μB per formula unit
* volume: 10.99 Å³/atom
* DFT total energy: -139.10 eV per cell
* crystal system: monoclinic